No. 1
! Ba2CuOsO6 PBE-GGA relaxed; values from VASP
&SYSTEM
  ibrav = 0, nat = 20, ntyp = 4
/
ATOMIC_SPECIES
O 16.00 O.upf
Ba 137.33 Ba.upf
Os 190.23 Os.upf
Cu 63.55 Cu.upf
CELL_PARAMETERS angstrom
5.876 0.000 0.000
2.938 5.089 0.000
2.938 1.696 9.563
ATOMIC_POSITIONS angstrom
O 4.512 4.180 5.896
O 7.469 2.473 8.424
O 5.876 4.967 3.667
O 7.240 2.605 3.667
O 5.876 1.818 5.896
O 5.876 1.553 1.139
O 4.283 2.473 8.424
O 4.512 2.605 3.667
O 7.240 4.180 5.896
O 4.283 4.312 1.139
O 7.469 4.312 1.139
O 5.876 5.232 8.424
Ba 8.814 5.089 3.662
Ba 2.938 1.696 5.901
Ba 2.938 1.696 1.551
Ba 8.814 5.089 8.012
Os 0.000 0.000 0.000
Os 5.876 3.392 4.781
Cu 5.876 3.392 7.735
Cu 5.876 3.392 1.828
! **Calculated volume**: 14.3 A^3/atom
! **Relative energy among the computed polymorphs**: 0.000 eV/atom
! **Calculated density**: 7.3 Mg/m³



No. 2
! BaCuOs2O8 PBE-GGA relaxed; values from VASP
&SYSTEM
  ibrav = 0, nat = 12, ntyp = 4
/
ATOMIC_SPECIES
O 16.00 O.upf
Os 190.23 Os.upf
Cu 63.55 Cu.upf
Ba 137.33 Ba.upf
CELL_PARAMETERS angstrom
-1.655 -4.465 -2.914
4.292 -0.415 3.547
-4.695 -1.828 5.467
ATOMIC_POSITIONS angstrom
O -2.441 -3.988 -0.188
O 0.228 -3.154 -0.645
O -2.286 -3.554 6.744
O -1.077 -4.601 4.405
O -0.981 -2.108 1.695
O -0.112 -5.008 1.471
O -1.946 -1.700 4.629
O 0.384 -2.720 6.288
Os -1.143 -3.109 5.414
Os -0.915 -3.599 0.686
Cu -2.347 -0.914 2.734
Ba 0.000 0.000 0.000
! **Calculated volume**: 16.7 A^3/atom
! **Calculated density**: 5.9 Mg/m³



No. 3
! Ba2CuOsO6 PBE-GGA relaxed; values from VASP
&SYSTEM
  ibrav = 0, nat = 10, ntyp = 4
/
ATOMIC_SPECIES
O 16.00 O.upf
Ba 137.33 Ba.upf
Cu 63.55 Cu.upf
Os 190.23 Os.upf
CELL_PARAMETERS angstrom
5.959 0.094 0.000
0.554 5.934 0.000
-3.257 -3.014 3.979
ATOMIC_POSITIONS angstrom
O 4.561 1.605 0.237
O 1.831 1.695 0.000
O 0.161 -0.174 2.059
O 4.683 4.334 0.000
O -1.304 1.409 3.742
O 3.096 3.188 1.920
Ba 2.980 0.047 1.989
Ba 0.277 2.967 1.989
Cu 0.000 0.000 0.000
Os 3.257 3.014 0.000
! **Calculated volume**: 14.1 A^3/atom
! **Relative energy among the computed polymorphs**: 0.014 eV/atom
! **Calculated density**: 7.4 Mg/m³



No. 4
! Ba2CuP6O18 PBE-GGA relaxed; values from VASP
&SYSTEM
  ibrav = 0, nat = 108, ntyp = 4
/
ATOMIC_SPECIES
O 16.00 O.upf
P 30.97 P.upf
Ba 137.33 Ba.upf
Cu 63.55 Cu.upf
CELL_PARAMETERS angstrom
7.443 0.000 0.000
0.000 9.723 0.000
0.000 3.043 21.482
ATOMIC_POSITIONS angstrom
O 6.216 6.025 12.653
O 5.781 3.684 19.406
O 5.742 10.854 19.326
O 6.830 7.070 7.121
O 6.590 3.860 3.695
O 0.670 0.796 4.004
O 3.052 2.317 14.745
O 0.853 8.905 17.787
O 5.597 4.054 16.302
O 3.624 6.385 9.223
O 0.523 12.062 19.728
O 7.279 3.130 11.550
O 3.993 7.533 4.801
O 4.403 10.073 15.430
O 1.960 7.726 15.803
O 6.770 5.030 8.785
O 5.483 5.040 5.679
O 3.109 4.174 3.620
O 3.886 1.609 0.808
O 4.713 8.875 20.378
O 1.875 10.233 15.921
O 2.020 3.433 12.897
O 4.949 4.504 1.912
O 5.568 2.533 5.561
O 4.395 6.552 19.526
O 2.420 4.886 7.474
O 1.656 5.204 21.120
O 5.423 9.333 8.585
O 0.613 5.695 14.361
O 1.301 6.408 18.215
O 3.819 6.381 12.259
O 6.142 6.358 3.267
O 6.451 7.354 9.637
O 3.048 6.214 1.956
O 1.846 8.711 5.180
O 2.868 7.384 7.046
O 3.557 11.157 20.674
O 2.730 3.891 1.104
O 3.040 2.693 6.052
O 3.198 10.540 8.987
O 3.450 5.233 16.681
O 6.762 8.551 4.689
O 0.164 9.635 9.933
O 0.271 3.711 5.940
O 0.673 7.736 12.697
O 0.098 7.906 19.964
O 5.384 2.163 8.665
O 4.006 1.046 4.264
O 1.701 1.911 2.156
O 2.060 10.603 12.817
O 5.023 7.880 14.008
O 6.920 0.704 1.754
O 7.172 9.054 15.542
O 1.662 9.082 2.076
O 6.773 11.970 17.479
O 5.681 6.561 16.420
O 7.345 4.860 1.518
O 4.575 5.382 14.436
O 1.762 6.204 5.062
O 4.245 2.225 12.495
O 5.787 7.562 0.362
O 5.377 9.083 11.103
O 1.227 6.740 8.829
O 0.681 4.214 16.793
O 2.066 3.683 10.379
O 3.437 11.720 17.218
O 2.494 8.262 19.570
O 4.334 8.592 17.862
O 0.284 10.198 6.477
O 4.392 10.449 6.737
O 0.992 5.412 11.845
O 7.159 2.568 15.005
P 2.550 2.306 0.844
P 4.142 1.776 5.544
P 4.839 6.534 13.343
P 2.652 7.378 5.438
P 4.061 7.975 19.203
P 7.104 6.454 8.462
P 6.326 5.013 2.602
P 3.301 10.990 15.938
P 0.339 6.312 13.020
P 1.069 8.899 16.180
P 0.421 9.468 5.197
P 1.117 7.753 18.880
P 4.893 10.460 20.638
P 6.614 12.192 19.071
P 6.374 3.866 5.303
P 6.272 8.939 9.897
P 0.829 0.574 2.411
P 2.604 6.232 8.139
P 7.022 3.298 16.285
P 4.791 5.388 16.044
P 3.382 4.791 2.279
P 2.893 2.095 13.152
P 4.550 10.671 8.330
P 1.172 3.827 11.585
Ba 4.564 8.872 2.506
Ba 2.635 8.573 10.976
Ba 1.087 7.051 0.235
Ba 6.600 10.393 13.247
Ba 2.879 3.894 18.977
Ba 0.843 2.373 8.235
Ba 4.808 4.193 10.506
Ba 6.357 5.715 21.247
Cu 1.269 5.967 16.199
Cu 4.991 8.320 16.024
Cu 2.452 4.446 5.458
Cu 6.174 6.799 5.283
! **Calculated volume**: 14.4 A^3/atom
! **Calculated density**: 3.5 Mg/m³



No. 5
! BaCuP2O PBE-GGA relaxed; values from VASP
&SYSTEM
  ibrav = 0, nat = 5, ntyp = 4
/
ATOMIC_SPECIES
P 30.97 P.upf
O 16.00 O.upf
Ba 137.33 Ba.upf
Cu 63.55 Cu.upf
CELL_PARAMETERS angstrom
-0.761 -3.481 -2.500
2.751 -2.344 2.426
-4.107 -1.444 3.261
ATOMIC_POSITIONS angstrom
P 1.375 -1.172 1.213
P -0.381 -1.740 -1.250
O -2.053 -0.722 1.630
Ba -1.059 -3.635 1.593
Cu 0.000 0.000 0.000
! **Calculated volume**: 20.6 A^3/atom
! **Relative energy among the computed polymorphs**: 0.000 eV/atom
! **Calculated density**: 4.5 Mg/m³



No. 6
! BaCuP2O6 PBE-GGA relaxed; values from VASP
&SYSTEM
  ibrav = 0, nat = 10, ntyp = 4
/
ATOMIC_SPECIES
O 16.00 O.upf
P 30.97 P.upf
Ba 137.33 Ba.upf
Cu 63.55 Cu.upf
CELL_PARAMETERS angstrom
5.402 0.000 0.000
2.701 4.678 0.000
2.701 1.559 6.099
ATOMIC_POSITIONS angstrom
O 4.192 1.838 1.773
O 6.612 4.400 4.326
O 5.906 1.430 4.326
O 4.897 4.807 1.773
O 3.687 3.526 4.326
O 7.116 2.711 1.773
P 2.701 1.559 1.512
P 8.103 4.678 4.586
Ba 0.000 0.000 0.000
Cu 5.402 3.119 3.049
! **Calculated volume**: 15.4 A^3/atom
! **Calculated density**: 3.9 Mg/m³



Energy relative to the elements, uncorrected? In order: -1.71; -1.16; -1.70; -2.27; -0.20; -1.79 eV/atom.